## CaGaBrCl4 (GGA-PBE)

Data for crystalline CaGaBrCl4 at its relaxed geometry.

```
14
Lattice="5.259 -4.918 0.000 5.259 4.918 0.000 -2.519 0.000 9.979" Properties=species:S:1:pos:R:3 pbc="T T T"
Ca 1.969 0.000 0.349
Ca 6.030 0.000 9.629
Ga 1.942 0.000 7.545
Ga 6.057 0.000 2.433
Br -0.318 0.000 1.928
Br 8.317 0.000 8.051
Cl 1.206 1.693 8.866
Cl 1.103 0.000 5.595
Cl 3.840 0.000 2.486
Cl 1.206 -1.693 8.866
Cl 6.793 1.693 1.112
Cl 4.159 0.000 7.492
Cl 6.896 0.000 4.383
Cl 6.793 -1.693 1.112
```

- calculated volume (Å³ per cell) = 516
- DFT total energy (eV per atom) = -3.56



## Y4CuBr (GGA-PBE)

Data for crystalline Y4CuBr at its relaxed geometry.

```
6
Lattice="0.000 4.538 4.538 4.538 0.000 4.538 4.538 4.538 0.000" Properties=species:S:1:pos:R:3 pbc="T T T"
Y 3.414 3.414 3.414
Y 5.662 5.662 3.414
Y 5.662 3.414 5.662
Y 3.414 5.662 5.662
Cu 6.807 6.807 6.807
Br 0.000 0.000 0.000
```

- calculated volume (Å³ per cell) = 187
- DFT total energy (eV per atom) = -4.74



## HoPuMo4 (GGA-PBE)

Data for crystalline HoPuMo4 at its relaxed geometry.

```
6
Lattice="0.000 3.879 3.879 3.879 0.000 3.879 3.879 3.879 0.000" Properties=species:S:1:pos:R:3 pbc="T T T"
Ho 0.000 0.000 0.000
Pu 5.819 5.819 5.819
Mo 2.911 2.911 2.911
Mo 4.848 4.848 2.911
Mo 4.848 2.911 4.848
Mo 2.911 4.848 4.848
```

- calculated volume (Å³ per cell) = 117
- DFT total energy (eV per atom) = -10.15



## ZrReCl (GGA-PBE)

Data for crystalline ZrReCl at its relaxed geometry.

```
3
Lattice="-1.439 2.125 4.435 1.439 -2.125 4.435 1.439 2.125 -4.435" Properties=species:S:1:pos:R:3 pbc="T T T"
Zr 0.000 0.000 0.000
Re 0.000 0.000 2.969
Cl 0.000 0.000 6.097
```

- excess energy over the best structure of this formula in the dataset (eV/atom) = 0.485
- calculated volume (Å³ per cell) = 54



## SrCd5Au7 (GGA-PBE)

Data for crystalline SrCd5Au7 at its relaxed geometry.

```
13
Lattice="-2.894 5.010 4.756 2.894 -5.010 4.756 2.894 5.010 -4.756" Properties=species:S:1:pos:R:3 pbc="T T T"
Sr 0.000 0.000 0.000
Cd 1.451 2.454 2.287
Cd 4.336 2.454 2.287
Cd 0.000 5.010 2.436
Cd -1.442 2.556 7.044
Cd 1.442 2.556 7.044
Au 2.894 1.908 -0.117
Au 2.894 0.000 2.097
Au 2.894 -1.556 4.681
Au 0.000 0.000 3.298
Au 2.894 1.556 4.681
Au 0.000 0.000 6.260
Au 0.000 3.103 4.639
```

- calculated volume (Å³ per cell) = 276
- DFT total energy (eV per atom) = -2.49



## NaThPS (GGA-PBE)

Data for crystalline NaThPS at its relaxed geometry.

```
4
Lattice="2.108 1.217 6.703 -2.108 1.217 6.703 0.000 -2.434 6.703" Properties=species:S:1:pos:R:3 pbc="T T T"
Na 0.000 0.000 0.000
Th 0.000 0.000 10.195
P 0.000 0.000 4.919
S 0.000 0.000 15.325
```

- calculated volume (Å³ per cell) = 103
- DFT total energy (eV per atom) = -5.93



calculated volume of number 6 (NaThPS)? 103 Å³ per cell



Look up the calculated volume of the second one. 187 Å³ per cell



What is the formula in the third record? HoPuMo4



Number 6 is which compound? NaThPS